# NdCo, optimized geometry, DFT PBE
# Theoretical density, Mg/m³: 7.72
# VASP energy, eV per atom: -5.572
data_NdCo
_chemical_formula_sum 'Nd1 Co1'
_cell_length_a 3.7502
_cell_length_b 3.7502
_cell_length_c 3.5878
_cell_angle_alpha 90.00
_cell_angle_beta 90.00
_cell_angle_gamma 120.00
_space_group_name_H-M_alt 'P -6 m 2'
_space_group_IT_number 187
_space_group_name_Hall 'P -6 2'
loop_
_atom_site_label
_atom_site_type_symbol
_atom_site_fract_x
_atom_site_fract_y
_atom_site_fract_z
Nd1 Nd 0.0000 0.0000 0.0000
Co1 Co 0.3333 0.6667 0.5000